Entry 1:
First-principles (PBE) data for crystalline Nd2Ge3Pd9 at its relaxed geometry, as listed in Alexandria.

Cell: 13.626 7.818 10.218 Å, 90.00 116.38 90.00°
Space group C2/c (No. 15)
Inequivalent atoms, fractional coordinates:
Nd  0.172  0.086  0.249 (multiplicity 8)
Ge  0.086  0.238  0.500 (multiplicity 8)
Ge  0.250  0.250  0.000 (multiplicity 4)
Pd  0.000  0.369  0.250 (multiplicity 4)
Pd  0.057  0.075  0.920 (multiplicity 8)
Pd  0.099  0.411  0.043 (multiplicity 8)
Pd  0.104  0.318  0.747 (multiplicity 8)
Pd  0.227  0.413  0.427 (multiplicity 8)

Values from the calculation:
Formation enthalpy at 0 K   -0.716 eV per atom
Total magnetization   0.00 μB/f.u.
DFT total energy   -0.210 hartree per atom

Entry 2:
First-principles (PBE) data for crystalline La5TmZn6 at its relaxed geometry, as listed in Alexandria.

Cell: 5.244 15.847 7.446 Å, 90.00 90.00 90.00°
Space group Cmmm (No. 65)
Inequivalent atoms, fractional coordinates:
La  0.000  0.000  0.000 (multiplicity 2)
La  0.000  0.328  0.000 (multiplicity 4)
La  0.000  0.334  0.500 (multiplicity 4)
Tm  0.000  0.000  0.500 (multiplicity 2)
Zn  0.000  0.159  0.260 (multiplicity 8)
Zn  0.000  0.500  0.263 (multiplicity 4)

Values from the calculation:
Formation enthalpy at 0 K   -0.309 eV per atom
Total magnetization   0.00 μB/f.u.
DFT total energy   -0.124 hartree per atom

Entry 3:
First-principles (PBE) data for crystalline HgMoAu2 at its relaxed geometry, as listed in Alexandria.

Cell: 9.443 2.835 5.518 Å, 90.00 96.60 90.00°
Space group C2/m (No. 12)
Inequivalent atoms, fractional coordinates:
Hg  0.000  0.000  0.000 (multiplicity 2)
Mo  0.000  0.500  0.500 (multiplicity 2)
Au  0.244  0.000  0.731 (multiplicity 4)

Values from the calculation:
Formation enthalpy at 0 K   0.376 eV per atom
Total magnetization   0.00 μB/f.u.
DFT total energy   -0.149 hartree per atom

Entry 4:
First-principles (PBE) data for crystalline CuAu8 at its relaxed geometry, as listed in Alexandria.

Cell: 10.441 10.441 2.926 Å, 90.00 90.00 90.00°
Space group I4/mmm (No. 139)
Inequivalent atoms, fractional coordinates:
Cu  0.000  0.000  0.000 (multiplicity 2)
Au  0.000  0.332  0.000 (multiplicity 8)
Au  0.158  0.158  0.500 (multiplicity 8)

Values from the calculation:
Formation enthalpy at 0 K   0.016 eV per atom
E above lowest polymorph   17 meV per atom
Total magnetization   0.00 μB/f.u.
DFT total energy   -0.123 hartree per atom